A geometry-optimized Dy3RhI3 structure. Source: the Alexandria database, functional PBE.

Cell lengths 8.9225, 4.1890, 12.3327 Å; angles 90.00, 93.53, 90.00 degrees
Closest atoms and distances in Å follow each position.
Space group P2_1/m (No. 11)
Symmetry-distinct sites (fractional):
Dy: 0.0984 0.2500 0.3188 [2 per cell]  1 Rh 2.78
Dy: 0.1364 0.2500 0.8711 [2 per cell]  3 Rh 2.75-2.88
Dy: 0.2582 0.7500 0.1027 [2 per cell]  2 Rh 2.77
Rh: 0.0546 0.2500 0.0937 [2 per cell]  6 Dy 2.75-2.88
I: 0.1443 0.2500 0.6054 [2 per cell]  4 Dy 3.19-3.53
I: 0.3552 0.7500 0.3627 [2 per cell]  3 Dy 3.13-3.27
I: 0.4248 0.7500 0.8667 [2 per cell]  5 Dy 3.32-3.52

Calculated values
Formation energy (no corrections) ... -106.5 kJ per mole of atoms

A geometry-optimized Dy7RhI12 structure. Source: the Alexandria database, functional PBE.

Cell lengths 15.7165, 15.7165, 11.0253 Å; angles 90.00, 90.00, 120.00 degrees
Closest atoms and distances in Å follow each position.
Space group R-3 (No. 148, hexagonal axes)
Symmetry-distinct sites (fractional):
Dy: 0.0000 0.0000 0.0000 [3 per cell]  6 I 3.04
Dy: 0.0424 0.8843 0.3641 [18 per cell]  1 Rh 2.68
Rh: 0.0000 0.0000 0.5000 [3 per cell]  6 Dy 2.68
I: 0.0177 0.4314 0.1551 [18 per cell]  3 Dy 3.11-3.39
I: 0.0482 0.8740 0.8367 [18 per cell]  3 Dy 3.04-3.24

Calculated values
Formation energy (no corrections) ... -119.2 kJ per mole of atoms

A geometry-optimized Dy4RhI5 structure. Source: the Alexandria database, functional PBE.

Cell lengths 19.5775, 4.1063, 8.9153 Å; angles 90.00, 102.49, 90.00 degrees
Closest atoms and distances in Å follow each position.
Space group C2/m (No. 12)
Symmetry-distinct sites (fractional):
Dy: 0.0007 0.0000 0.2012 [4 per cell]  2 Rh 2.72
Dy: 0.1426 0.5000 0.0737 [4 per cell]  1 Rh 2.73
Rh: 0.0000 0.5000 0.0000 [2 per cell]  6 Dy 2.72-2.73
I: 0.0000 0.5000 0.5000 [2 per cell]  4 Dy 3.37
I: 0.1683 0.0000 0.3441 [4 per cell]  3 Dy 3.12-3.25
I: 0.1782 0.0000 0.8306 [4 per cell]  4 Dy 3.17-3.45

Calculated values
Formation energy (no corrections) ... -110.0 kJ per mole of atoms

A geometry-optimized SmDyRhI structure. Source: the Alexandria database, functional PBE.

Cell lengths 4.0966, 4.0966, 24.0555 Å; angles 90.00, 90.00, 120.00 degrees
Closest atoms and distances in Å follow each position.
Space group R3m (No. 160, hexagonal axes)
Symmetry-distinct sites (fractional):
Sm: 0.0000 0.0000 0.0000 [3 per cell]  3 Rh 2.80-2.81
Dy: 0.0000 0.0000 0.2117 [3 per cell]  3 Rh 2.76
Rh: 0.0000 0.0000 0.6040 [3 per cell]  3 Dy 2.76, 3 Sm 2.80-2.81
I: 0.0000 0.0000 0.7749 [3 per cell]  3 Dy 3.43, 3 Sm 3.52

Calculated values
Formation energy (no corrections) ... -90.7 kJ per mole of atoms

A geometry-optimized TbDyRhI structure. Source: the Alexandria database, functional PBE.

Cell lengths 4.0767, 4.0767, 23.8512 Å; angles 90.00, 90.00, 120.00 degrees
Closest atoms and distances in Å follow each position.
Space group R3m (No. 160, hexagonal axes)
Symmetry-distinct sites (fractional):
Tb: 0.0000 0.0000 0.0000 [3 per cell]  3 Rh 2.76
Dy: 0.0000 0.0000 0.7874 [3 per cell]  3 Rh 2.76
Rh: 0.0000 0.0000 0.3939 [3 per cell]  3 Dy 2.76, 3 Tb 2.76
I: 0.0000 0.0000 0.2248 [3 per cell]  3 Dy 3.42, 3 Tb 3.50

Calculated values
Formation energy (no corrections) ... -90.8 kJ per mole of atoms

A geometry-optimized DyThRhI structure. Source: the Alexandria database, functional PBE.

Cell lengths 4.1480, 4.1480, 24.4544 Å; angles 90.00, 90.00, 120.00 degrees
Closest atoms and distances in Å follow each position.
Space group R3m (No. 160, hexagonal axes)
Symmetry-distinct sites (fractional):
Dy: 0.0000 0.0000 0.0000 [3 per cell]  3 Rh 2.83
Th: 0.0000 0.0000 0.2144 [3 per cell]  3 Rh 2.78
Rh: 0.0000 0.0000 0.6052 [3 per cell]  3 Th 2.78, 3 Dy 2.83
I: 0.0000 0.0000 0.7726 [3 per cell]  3 Dy 3.53, 3 Th 3.57

Calculated values
Formation energy (no corrections) ... -84.8 kJ per mole of atoms

A geometry-optimized DyRuI structure. Source: the Alexandria database, functional PBE.

Cell lengths 4.2078, 4.2078, 36.2903 Å; angles 90.00, 90.00, 120.00 degrees
Closest atoms and distances in Å follow each position.
Space group R-3m (No. 166, hexagonal axes)
Symmetry-distinct sites (fractional):
Dy: 0.0000 0.0000 0.0533 [6 per cell]  6 Ru 3.07-3.14, 3 I 3.20
Ru: 0.0000 0.0000 0.3350 [6 per cell]  3 Ru 2.43
I: 0.0000 0.0000 0.2228 [6 per cell]  3 Dy 3.20

Calculated values
Formation energy (no corrections) ... -74.8 kJ per mole of atoms

A geometry-optimized Dy3RuI3 structure. Source: the Alexandria database, functional PBE.

Cell lengths 8.8762, 4.2392, 12.3358 Å; angles 90.00, 93.58, 90.00 degrees
Closest atoms and distances in Å follow each position.
Space group P2_1/m (No. 11)
Symmetry-distinct sites (fractional):
Dy: 0.0974 0.2500 0.3131 [2 per cell]  1 Ru 2.74
Dy: 0.1335 0.2500 0.8747 [2 per cell]  3 Ru 2.74-2.81
Dy: 0.2583 0.7500 0.1017 [2 per cell]  2 Ru 2.79
Ru: 0.0527 0.2500 0.0916 [2 per cell]  6 Dy 2.74-2.81
I: 0.1417 0.2500 0.6079 [2 per cell]  3 Dy 3.19-3.30
I: 0.3503 0.7500 0.3618 [2 per cell]  3 Dy 3.12-3.26
I: 0.4274 0.7500 0.8668 [2 per cell]  5 Dy 3.35-3.51

Calculated values
Formation energy (no corrections) ... -96.5 kJ per mole of atoms

A geometry-optimized Dy4RuI2 structure. Source: the Alexandria database, functional PBE.

Cell lengths 6.3661, 4.1007, 11.2946 Å; angles 90.00, 105.62, 90.00 degrees
Closest atoms and distances in Å follow each position.
Space group P2/m (No. 10)
Symmetry-distinct sites (fractional):
Dy: 0.2132 0.0000 0.1343 [2 per cell]  1 Ru 2.67
Dy: 0.2662 0.5000 0.8725 [2 per cell]  2 Ru 2.71
Ru: 0.5000 0.0000 0.0000 [1 per cell]  6 Dy 2.67-2.71
I: 0.1803 0.5000 0.3469 [2 per cell]  3 Dy 3.21-3.23

Calculated values
Formation energy (no corrections) ... -57.8 kJ per mole of atoms

A geometry-optimized DyRuI structure. Source: the Alexandria database, functional PBE.

Cell lengths 9.6710, 3.9718, 10.3353 Å; angles 90.00, 115.87, 90.00 degrees
Closest atoms and distances in Å follow each position.
Space group C2/m (No. 12)
Symmetry-distinct sites (fractional):
Dy: 0.0285 0.0000 0.3448 [4 per cell]  3 Ru 2.60-2.79
Ru: 0.2486 0.5000 0.3974 [4 per cell]  3 Dy 2.60-2.79, 2 Ru 2.90
I: 0.2340 0.0000 0.1854 [4 per cell]  2 Ru 2.91, 1 Dy 3.09

Calculated values
Formation energy (no corrections) ... -28.5 kJ per mole of atoms

A geometry-optimized Dy4Ru2I5 structure. Source: the Alexandria database, functional PBE.

Cell lengths 22.8887, 4.0501, 8.4930 Å; angles 90.00, 94.01, 90.00 degrees
Closest atoms and distances in Å follow each position.
Space group C2/m (No. 12)
Symmetry-distinct sites (fractional):
Dy: 0.0320 0.0000 0.2021 [4 per cell]  2 Ru 2.77
Dy: 0.1599 0.5000 0.0793 [4 per cell]  1 Ru 2.48
Ru: 0.0544 0.5000 0.9915 [4 per cell]  1 Dy 2.48, 1 Ru 2.51
I: 0.0000 0.5000 0.5000 [2 per cell]  4 Dy 3.36
I: 0.1619 0.0000 0.3551 [4 per cell]  3 Dy 3.09-3.16
I: 0.1957 0.0000 0.8298 [4 per cell]  3 Dy 3.08-3.34

Calculated values
Formation energy (no corrections) ... -70.1 kJ per mole of atoms